A relaxed ThCuOs crystal. Source: the Alexandria database, functional PBE-GGA.

a b c (Å): 16.0061 4.0748 4.0848
angles (deg): 90.00 104.69 90.00
Last column: nearest neighbours and their distance in Å.
Space group C2/m (No. 12)
One atom of each set of equivalent atoms:
1 Th 0.1180 0.0000 0.3675 [4 per cell]  6 Os 3.11-3.22, 6 Cu 3.19-3.40
2 Cu 0.2067 0.5000 0.9562 [4 per cell]  2 Cu 2.44, 1 Os 2.53
3 Os 0.0432 0.5000 0.7932 [4 per cell]  2 Os 2.44, 1 Cu 2.53

Energy relative to the elements in eV/atom: -0.10
Raw total energy in eV/atom: -7.677